{"formula": "ZnMoCl", "functional": "PBE", "state": "relaxed", "rho_g_cm3": 5.47, "volume_a3_per_atom": 19.91, "polymorph_energy_mev_per_atom": 0, "final_energy_ev_per_atom": -4.605, "dos_at_fermi_per_ev_atom": 0.74, "space_group": "P3m1", "m_tot_mub_per_fu": 0.00, "lattice": [[3.003, 0.000, 0.000], [-1.501, 2.601, 0.000], [0.000, 0.000, 7.648]], "species": ["Zn", "Mo", "Cl"], "fractional_positions": [[0.000, 0.000, 0.000], [0.667, 0.333, 0.721], [0.333, 0.667, 0.498]]}